Density functional theory data (PBE+U) for MnHF2 after structural relaxation.

Unit cell a=6.016 b=6.016 c=6.016 alpha=27.58 beta=27.58 gamma=27.58
Sites, in units of the cell vectors:
H 0.500 0.500 0.500
Mn 0.000 0.000 0.000
F 0.888 0.888 0.888
F 0.112 0.112 0.112

Calculated values
Its raw total energy is -17.36 eV/cell. Its symmetry is R-3m.